--- w ---
The following is a DFT calculation (PBE) of an optimized crystal structure of LiPrI4.

a = 7.716 Å, b = 7.731 Å, c = 10.561 Å
α = 104.06°, β = 103.98°, γ = 109.75°
Atoms (fractional coordinates):
Li1 0.333 0.585 0.167
Li2 0.667 0.415 0.833
Pr1 0.828 0.078 0.156
Pr2 0.172 0.922 0.844
I1 0.332 0.085 0.643
I2 0.041 0.795 0.095
I3 0.189 0.443 0.357
I4 0.446 0.699 0.905
I5 0.668 0.915 0.357
I6 0.811 0.557 0.643
I7 0.959 0.205 0.905
I8 0.554 0.301 0.095

Properties
Theoretical density ... 4.047 g/cm³



--- x ---
The following is a DFT calculation (PBE) of an optimized crystal structure of LiPrI4.

a = 4.508 Å, b = 8.909 Å, c = 7.673 Å
α = 114.65°, β = 90.00°, γ = 104.66°
Atoms (fractional coordinates):
Li1 0.500 0.000 0.500
Pr1 0.000 0.000 0.000
I1 0.380 0.761 0.048
I2 0.106 0.212 0.446
I3 0.620 0.239 0.952
I4 0.894 0.788 0.554

Properties
Theoretical density ... 4.046 g/cm³



x is the most stable structure; the next one sits 23 meV per atom above it.



--- w ---
The following is a DFT calculation (PBE) of an optimized crystal structure of LiPt2I.

a = 3.899 Å, b = 3.899 Å, c = 10.277 Å
α = 79.06°, β = 79.06°, γ = 90.00°
Atoms (fractional coordinates):
I1 0.000 0.000 0.000
I2 0.750 0.250 0.500
Pt1 0.614 0.125 0.250
Pt2 0.136 0.625 0.250
Pt3 0.375 0.386 0.750
Pt4 0.875 0.864 0.750
Li1 0.500 0.500 0.000
Li2 0.250 0.750 0.500

Properties
Theoretical density ... 11.564 g/cm³



--- x ---
The following is a DFT calculation (PBE) of an optimized crystal structure of LiPt2I.

a = 4.638 Å, b = 4.638 Å, c = 4.638 Å
α = 60.00°, β = 60.00°, γ = 60.00°
Atoms (fractional coordinates):
I1 0.500 0.500 0.500
Pt1 0.250 0.250 0.250
Pt2 0.750 0.750 0.750
Li1 0.000 0.000 0.000

Properties
Theoretical density ... 12.331 g/cm³



w is the most stable structure; the next one sits 223 meV per atom above it.



--- w ---
The following is a DFT calculation (PBE) of an optimized crystal structure of Rb2LiPtI6.

a = 8.152 Å, b = 8.152 Å, c = 8.145 Å
α = 59.97°, β = 59.97°, γ = 90.00°
Atoms (fractional coordinates):
I1 0.241 0.241 0.519
I2 0.759 0.759 0.481
I3 0.240 0.240 0.000
I4 0.760 0.760 0.000
I5 0.760 0.240 0.000
I6 0.240 0.760 0.000
Rb1 0.750 0.250 0.500
Rb2 0.250 0.750 0.500
Pt1 0.000 0.000 0.000
Li1 0.500 0.500 0.000

Properties
Theoretical density ... 4.926 g/cm³



--- x ---
The following is a DFT calculation (PBE) of an optimized crystal structure of Rb2LiPtI6.

a = 8.027 Å, b = 8.027 Å, c = 14.746 Å
α = 74.21°, β = 74.21°, γ = 60.00°
Atoms (fractional coordinates):
Rb1 0.881 0.881 0.356
Rb2 0.119 0.119 0.644
Rb3 0.700 0.700 0.901
Rb4 0.300 0.300 0.099
Li1 0.577 0.577 0.269
Li2 0.423 0.423 0.731
Pt1 0.000 0.000 0.000
Pt2 0.500 0.500 0.500
I1 0.866 0.374 0.387
I2 0.374 0.866 0.387
I3 0.374 0.374 0.387
I4 0.134 0.626 0.613
I5 0.626 0.134 0.613
I6 0.626 0.626 0.613
I7 0.713 0.201 0.885
I8 0.201 0.713 0.885
I9 0.201 0.201 0.885
I10 0.287 0.799 0.115
I11 0.799 0.287 0.115
I12 0.799 0.799 0.115

Properties
Theoretical density ... 4.823 g/cm³



x is the most stable structure; the next one sits 25 meV per atom above it.